Record 1
7
Lattice="-1.959 1.959 6.299 1.959 -1.959 6.299 1.959 1.959 -6.299" Properties=species:S:1:pos:R:3 comment="LaSmReN4 (PBE, relaxed)" volume_a3_per_cell=97 raw_formation_energy_ev_per_atom=-0.924 dft_energy_ev_per_atom=-8.838 spacegroup=I4mm pbc="T T T"
La 0.000 0.000 0.000
Sm 0.000 0.000 8.920
Re 0.000 0.000 4.444
N 0.000 0.000 2.371
N 1.959 0.000 4.428
N 0.000 0.000 6.557
N 0.000 1.959 4.428

***

Record 2
4
Lattice="3.595 0.000 0.000 0.000 4.633 0.000 -0.531 0.000 6.396" Properties=species:S:1:pos:R:3 comment="KCu2Sb (PBE, relaxed)" volume_a3_per_cell=107 raw_formation_energy_ev_per_atom=0.239 dft_energy_ev_per_atom=-3.114 spacegroup=P2/m pbc="T T T"
K 0.000 0.000 0.000
Cu 0.624 2.317 4.020
Cu 2.439 2.317 2.376
Sb 1.532 0.000 3.198

***

Record 3
5
Lattice="4.215 0.000 0.000 0.000 4.215 0.000 0.000 0.000 4.241" Properties=species:S:1:pos:R:3 comment="BeBiC2Se (PBE, relaxed)" volume_a3_per_cell=75 raw_formation_energy_ev_per_atom=2.055 dft_energy_ev_per_atom=-3.853 spacegroup=P4/mmm pbc="T T T"
Be 0.000 0.000 0.000
Bi 2.107 2.107 0.000
C 0.000 2.107 2.120
C 2.107 0.000 2.120
Se 0.000 0.000 2.120

***

Record 4
5
Lattice="6.147 0.000 0.000 0.000 6.147 0.000 0.000 0.000 6.259" Properties=species:S:1:pos:R:3 comment="BaIrS2F (PBE, relaxed)" volume_a3_per_cell=237 raw_formation_energy_ev_per_atom=1.215 dft_energy_ev_per_atom=-2.967 spacegroup=P4/mmm pbc="T T T"
Ba 0.000 0.000 0.000
Ir 0.000 0.000 3.130
S 0.000 3.074 0.000
S 3.074 0.000 0.000
F 3.074 3.074 3.130

***

Record 5
5
Lattice="4.832 0.000 0.000 0.000 4.832 0.000 0.000 0.000 4.873" Properties=species:S:1:pos:R:3 comment="TiGaAg2As (PBE, relaxed)" volume_a3_per_cell=114 ef_kcal_per_mol_atoms=7.62 dft_energy_ev_per_atom=-3.924 spacegroup=P4/mmm pbc="T T T"
Ti 0.000 0.000 0.000
Ga 2.416 2.416 0.000
Ag 0.000 2.416 2.437
Ag 2.416 0.000 2.437
As 0.000 0.000 2.437

***

Record 6
4
Lattice="0.000 3.250 3.250 3.250 0.000 3.250 3.250 3.250 0.000" Properties=species:S:1:pos:R:3 comment="UNb2Cr (PBE, relaxed)" volume_a3_per_cell=69 ef_kcal_per_mol_atoms=5.38 dft_energy_ev_per_atom=-10.030 spacegroup=Fm-3m pbc="T T T"
U 0.000 0.000 0.000
Nb 1.625 1.625 1.625
Nb 4.875 4.875 4.875
Cr 3.250 3.250 3.250